The following is a DFT calculation (GGA-PBE) of Er2PuZr after structural relaxation.

Summary:
Total magnetization (μB per formula unit): 5.57
Total DFT energy (no corrections) (eV/atom): -7.85
Calculated formation energy (kJ/mol of formula units): 60
Space group: P4/mmm (123)
Fermi-level density of states (states/eV/atom): 3.3837

Cell lengths 4.8227, 4.7440, 4.7440 Å; angles 90.00, 90.00, 90.00 degrees
Each line ends with the local moment (μB).
Fractional positions:
Zr 0.5000 0.5000 0.5000  0.06
Er 0.0000 0.0000 0.5000  -0.04
Pu 0.5000 0.0000 0.0000  -5.32
Er 0.0000 0.5000 0.0000  -0.04

***

The following is a DFT calculation (GGA-PBE) of ErPuZr2 after structural relaxation.

Summary:
Total magnetization (μB per formula unit): 5.75
Total DFT energy (no corrections) (eV/atom): -8.87
Calculated formation energy (kJ/mol of formula units): 51
Space group: P4/mmm (123)
Fermi-level density of states (states/eV/atom): 2.8774

Cell lengths 4.6581, 4.6446, 4.6446 Å; angles 90.00, 90.00, 90.00 degrees
Each line ends with the local moment (μB).
Fractional positions:
Pu 0.5000 0.0000 0.0000  5.29
Zr 0.0000 0.0000 0.5000  0.04
Er 0.5000 0.5000 0.5000  0.09
Zr 0.0000 0.5000 0.0000  0.04

***

The following is a DFT calculation (GGA-PBE) of ErPuZr2 after structural relaxation.

Summary:
Total magnetization (μB per formula unit): 5.16
Total DFT energy (no corrections) (eV/atom): -8.86
Calculated formation energy (kJ/mol of formula units): 53
Space group: R3m (160)
Fermi-level density of states (states/eV/atom): 2.3132

Cell lengths 3.3169, 3.3169, 10.8198 Å; angles 81.19, 81.19, 60.00 degrees
Each line ends with the local moment (μB).
Fractional positions:
Zr 0.0856 0.0856 0.7438  0.09
Zr 0.2476 0.2476 0.2575  0.14
Er 0.6668 0.6668 0.9989  0.00
Pu 0.5000 0.5000 0.4998  -5.25

***

The following is a DFT calculation (GGA-PBE) of ErPuZr2 after structural relaxation.

Summary:
Total magnetization (μB per formula unit): 5.24
Total DFT energy (no corrections) (eV/atom): -8.86
Calculated formation energy (kJ/mol of formula units): 54
Space group: R-3m (166)
Fermi-level density of states (states/eV/atom): 2.3415

Cell lengths 3.2991, 3.2991, 10.8783 Å; angles 81.28, 81.28, 60.00 degrees
Each line ends with the local moment (μB).
Fractional positions:
Pu 0.0000 0.0000 0.0000  5.21
Zr 0.2524 0.2524 0.2429  -0.08
Zr 0.7476 0.7476 0.7571  -0.08
Er 0.5000 0.5000 0.5000  0.02

***

The following is a DFT calculation (GGA-PBE) of Er2PuZr after structural relaxation.

Summary:
Total magnetization (μB per formula unit): 6.13
Total DFT energy (no corrections) (eV/atom): -7.74
Calculated formation energy (kJ/mol of formula units): 99
Space group: R-3m (166)
Fermi-level density of states (states/eV/atom): 3.1076

Cell lengths 3.3347, 3.3347, 11.8999 Å; angles 81.95, 81.95, 60.00 degrees
Each line ends with the local moment (μB).
Fractional positions:
Zr 0.5000 0.5000 0.5000  -0.02
Pu 0.0000 0.0000 0.0000  5.72
Er 0.0923 0.0923 0.7231  0.02
Er 0.9077 0.9077 0.2769  0.02

***

The following is a DFT calculation (GGA-PBE) of Er2PuZr after structural relaxation.

Summary:
Total magnetization (μB per formula unit): 6.11
Total DFT energy (no corrections) (eV/atom): -7.88
Calculated formation energy (kJ/mol of formula units): 47
Space group: R3m (160)
Fermi-level density of states (states/eV/atom): 2.8245

Cell lengths 3.4036, 3.4036, 11.1852 Å; angles 81.25, 81.25, 60.00 degrees
Each line ends with the local moment (μB).
Fractional positions:
Er 0.2464 0.2464 0.2608  0.07
Zr 0.5004 0.5004 0.4989  0.03
Pu 0.6665 0.6665 0.0004  5.56
Er 0.0867 0.0867 0.7399  0.03

***

The following is a DFT calculation (GGA-PBE) of ErPu2Zr after structural relaxation.

Summary:
Total magnetization (μB per formula unit): 11.54
Total DFT energy (no corrections) (eV/atom): -10.28
Calculated formation energy (kJ/mol of formula units): 65
Space group: R-3m (166)
Fermi-level density of states (states/eV/atom): 3.6906

Cell lengths 3.3371, 3.3371, 11.0552 Å; angles 81.32, 81.32, 60.00 degrees
Each line ends with the local moment (μB).
Fractional positions:
Er 0.5000 0.5000 0.5000  0.17
Zr 0.0000 0.0000 0.0000  -0.02
Pu 0.2538 0.2538 0.2386  5.38
Pu 0.7462 0.7462 0.7614  5.38

***

The following is a DFT calculation (GGA-PBE) of ErPu2Zr after structural relaxation.

Summary:
Total magnetization (μB per formula unit): 11.30
Total DFT energy (no corrections) (eV/atom): -10.26
Calculated formation energy (kJ/mol of formula units): 71
Space group: P4/mmm (123)
Fermi-level density of states (states/eV/atom): 3.4489

Cell lengths 4.7946, 4.6419, 4.6419 Å; angles 90.00, 90.00, 90.00 degrees
Each line ends with the local moment (μB).
Fractional positions:
Pu 0.0000 0.0000 0.5000  5.33
Er 0.5000 0.0000 0.0000  0.18
Pu 0.0000 0.5000 0.0000  5.33
Zr 0.5000 0.5000 0.5000  -0.12